No. 1
The following is a PBE calculation of a relaxed structure of Na12GaHg7, from the Alexandria database.

As for the density of states at the Fermi level: 6.93 states/eV per cell. As for the formation energy: -164 meV/atom. Its space group is No. 148.

abc: 8.8711 8.8711 8.8711
angles: 108.54 108.54 108.54
Element x y z (fractional)
1 Na 0.0336 0.7077 0.1491
2 Na 0.1491 0.0336 0.7077
3 Na 0.1652 0.4435 0.6224
4 Na 0.2923 0.8509 0.9664
5 Na 0.3776 0.8348 0.5565
6 Na 0.4435 0.6224 0.1652
7 Na 0.5565 0.3776 0.8348
8 Na 0.6224 0.1652 0.4435
9 Na 0.7077 0.1491 0.0336
10 Na 0.8348 0.5565 0.3776
11 Na 0.8509 0.9664 0.2923
12 Na 0.9664 0.2923 0.8509
13 Ga 0.5000 0.5000 0.5000
14 Hg 0.0000 0.0000 0.0000
15 Hg 0.1292 0.4215 0.2604
16 Hg 0.2604 0.1292 0.4215
17 Hg 0.4215 0.2604 0.1292
18 Hg 0.5785 0.7396 0.8708
19 Hg 0.7396 0.8708 0.5785
20 Hg 0.8708 0.5785 0.7396

***

No. 2
The following is a PBE calculation of a relaxed structure of NaGaHg, from the Alexandria database.

As for the density of states at the Fermi level: 1.10 states/eV per cell. As for the formation energy: -29 meV/atom. Its space group is No. 216.

abc: 4.8283 4.8283 4.8283
angles: 60.00 60.00 60.00
Element x y z (fractional)
1 Na 0.0000 0.0000 0.0000
2 Ga 0.5000 0.5000 0.5000
3 Hg 0.7500 0.7500 0.7500

***

No. 3
The following is a PBE calculation of a relaxed structure of Na2GaHg2, from the Alexandria database.

As for the density of states at the Fermi level: 3.41 states/eV per cell. As for the formation energy: -142 meV/atom. Its space group is No. 72.

abc: 8.2550 8.2550 8.2550
angles: 135.53 61.66 139.56
Element x y z (fractional)
1 Na 0.1801 0.1889 0.3689
2 Na 0.3199 0.6889 0.0088
3 Na 0.6801 0.3111 0.9912
4 Na 0.8199 0.8111 0.6311
5 Ga 0.2500 0.2500 0.0000
6 Ga 0.7500 0.7500 0.0000
7 Hg 0.0936 0.6454 0.7390
8 Hg 0.4064 0.1454 0.5518
9 Hg 0.5936 0.8546 0.4482
10 Hg 0.9064 0.3546 0.2610

***

No. 4
The following is a PBE calculation of a relaxed structure of Na2GaHg, from the Alexandria database.

As for the density of states at the Fermi level: 4.64 states/eV per cell. As for the formation energy: 18 meV/atom. Its space group is No. 122.

abc: 6.6679 6.6679 6.6679
angles: 101.50 101.50 126.97
Element x y z (fractional)
1 Na 0.1245 0.6250 0.9995
2 Na 0.3750 0.3745 0.4995
3 Na 0.6255 0.1250 0.0005
4 Na 0.8750 0.8755 0.5005
5 Ga 0.0000 0.0000 0.0000
6 Ga 0.7500 0.2500 0.5000
7 Hg 0.2500 0.7500 0.5000
8 Hg 0.5000 0.5000 0.0000

***

No. 5
The following is a PBE calculation of a relaxed structure of NaGaHg, from the Alexandria database.

As for the density of states at the Fermi level: 1.78 states/eV per cell. As for the formation energy: -161 meV/atom. Its space group is No. 12.

abc: 5.8981 5.8981 4.8440
angles: 113.99 113.99 90.86
Element x y z (fractional)
1 Na 0.2427 0.2427 0.2429
2 Na 0.7573 0.7573 0.7571
3 Ga 0.3435 0.6565 0.0000
4 Ga 0.6565 0.3435 0.0000
5 Hg 0.1777 0.8223 0.5000
6 Hg 0.8223 0.1777 0.5000

***

No. 6
The following is a PBE calculation of a relaxed structure of NaGaHg3, from the Alexandria database.

As for the density of states at the Fermi level: 4.69 states/eV per cell. As for the formation energy: -80 meV/atom. Its space group is No. 194.

abc: 7.2771 7.2771 5.6947
angles: 90.00 90.00 120.00
Element x y z (fractional)
1 Na 0.3333 0.6667 0.2500
2 Na 0.6667 0.3333 0.7500
3 Ga 0.0000 0.0000 0.0000
4 Ga 0.0000 0.0000 0.5000
5 Hg 0.1951 0.3902 0.7500
6 Hg 0.1951 0.8049 0.7500
7 Hg 0.3902 0.1951 0.2500
8 Hg 0.6098 0.8049 0.7500
9 Hg 0.8049 0.1951 0.2500
10 Hg 0.8049 0.6098 0.2500

***

No. 7
The following is a PBE calculation of a relaxed structure of Na3Ga2Hg3, from the Alexandria database.

As for the density of states at the Fermi level: 3.65 states/eV per cell. As for the formation energy: -139 meV/atom. Its space group is No. 2.

abc: 4.0857 4.7452 10.2572
angles: 103.26 101.31 90.08
Element x y z (fractional)
1 Na 0.0000 0.0000 0.0000
2 Na 0.1296 0.6307 0.2601
3 Na 0.8704 0.3693 0.7399
4 Ga 0.2396 0.2428 0.4873
5 Ga 0.7604 0.7572 0.5127
6 Hg 0.3712 0.8671 0.7365
7 Hg 0.5000 0.5000 0.0000
8 Hg 0.6288 0.1329 0.2635

***

No. 8
The following is a PBE calculation of a relaxed structure of Na2GaHg2, from the Alexandria database.

As for the density of states at the Fermi level: 4.03 states/eV per cell. As for the formation energy: -122 meV/atom. Its space group is No. 127.

abc: 7.7431 7.7431 4.2872
angles: 90.00 90.00 90.00
Element x y z (fractional)
1 Na 0.1656 0.3344 0.0000
2 Na 0.3344 0.8344 0.0000
3 Na 0.6656 0.1656 0.0000
4 Na 0.8344 0.6656 0.0000
5 Ga 0.0000 0.0000 0.5000
6 Ga 0.5000 0.5000 0.5000
7 Hg 0.1398 0.6398 0.5000
8 Hg 0.3602 0.1398 0.5000
9 Hg 0.6398 0.8602 0.5000
10 Hg 0.8602 0.3602 0.5000

***

No. 9
The following is a PBE calculation of a relaxed structure of Na3Ga5Hg2, from the Alexandria database.

As for the density of states at the Fermi level: 5.46 states/eV per cell. As for the formation energy: -119 meV/atom. Its space group is No. 72.

abc: 9.2521 9.2521 9.2521
angles: 97.28 95.82 140.52
Element x y z (fractional)
1 Na 0.1088 0.7320 0.8408
2 Na 0.2500 0.2500 0.0000
3 Na 0.3912 0.2320 0.6232
4 Na 0.6088 0.7680 0.3768
5 Na 0.7500 0.7500 0.0000
6 Na 0.8912 0.2680 0.1592
7 Ga 0.0007 0.7500 0.2507
8 Ga 0.1276 0.3767 0.5042
9 Ga 0.2500 0.7500 0.5000
10 Ga 0.3724 0.8767 0.2491
11 Ga 0.4993 0.7500 0.7493
12 Ga 0.5007 0.2500 0.2507
13 Ga 0.6276 0.1233 0.7509
14 Ga 0.7500 0.2500 0.5000
15 Ga 0.8724 0.6233 0.4958
16 Ga 0.9993 0.2500 0.7493
17 Hg 0.1474 0.1604 0.3078
18 Hg 0.3526 0.6604 0.0131
19 Hg 0.6474 0.3396 0.9869
20 Hg 0.8526 0.8396 0.6922

***

No. 10
The following is a PBE calculation of a relaxed structure of NaGaHg3, from the Alexandria database.

As for the density of states at the Fermi level: 4.71 states/eV per cell. As for the formation energy: 323 meV/atom. Its space group is No. 221.

abc: 5.5567 5.5567 5.5567
angles: 90.00 90.00 90.00
Element x y z (fractional)
1 Na 0.0000 0.0000 0.0000
2 Ga 0.5000 0.5000 0.5000
3 Hg 0.0000 0.0000 0.5000
4 Hg 0.0000 0.5000 0.0000
5 Hg 0.5000 0.0000 0.0000

***

No. 11
The following is a PBE calculation of a relaxed structure of Na3Ga2Hg3, from the Alexandria database.

As for the density of states at the Fermi level: 5.78 states/eV per cell. As for the formation energy: -163 meV/atom. Its space group is No. 63.

abc: 6.0181 6.0181 15.6412
angles: 90.00 90.00 133.38
Element x y z (fractional)
1 Na 0.0789 0.9211 0.6082
2 Na 0.0789 0.9211 0.8918
3 Na 0.3747 0.6253 0.7500
4 Na 0.6253 0.3747 0.2500
5 Na 0.9211 0.0789 0.1082
6 Na 0.9211 0.0789 0.3918
7 Ga 0.2172 0.7828 0.0959
8 Ga 0.2172 0.7828 0.4041
9 Ga 0.7828 0.2172 0.5959
10 Ga 0.7828 0.2172 0.9041
11 Hg 0.3313 0.6687 0.2500
12 Hg 0.3820 0.6180 0.5461
13 Hg 0.3820 0.6180 0.9539
14 Hg 0.6180 0.3820 0.0461
15 Hg 0.6180 0.3820 0.4539
16 Hg 0.6687 0.3313 0.7500

***

No. 12
The following is a PBE calculation of a relaxed structure of Na2GaHg, from the Alexandria database.

As for the density of states at the Fermi level: 1.33 states/eV per cell. As for the formation energy: -91 meV/atom. Its space group is No. 123.

abc: 4.4918 4.4918 4.7612
angles: 90.00 90.00 90.00
Element x y z (fractional)
1 Na 0.0000 0.5000 0.0000
2 Na 0.5000 0.0000 0.0000
3 Ga 0.0000 0.0000 0.5000
4 Hg 0.5000 0.5000 0.5000